VASP calculation (PBE-GGA) on a geometry-optimized SrCo6Sn12 structure.

Values from the calculation:
DFT formation energy in eV per atom: 0.000
Uncorrected energy in eV per atom: -4.860
Spin magnetization in μB per formula unit: 0.0

The structure in CIF format:
```
data_SrCo6Sn12
_cell_length_a 12.2933
_cell_length_b 12.2933
_cell_length_c 9.0891
_cell_angle_alpha 90.00
_cell_angle_beta 90.00
_cell_angle_gamma 120.00
_space_group_name_H-M_alt 'R -3 m'
_space_group_IT_number 166
_space_group_name_Hall '-R 3 2"'
loop_
_atom_site_label
_atom_site_type_symbol
_atom_site_fract_x
_atom_site_fract_y
_atom_site_fract_z
_atom_site_occupancy
Sr1 Sr 0.0000 0.0000 0.0000 1
Co1 Co 0.0515 0.5257 0.2566 1
Sn1 Sn 0.0000 0.3773 0.5000 1
Sn2 Sn 0.0867 0.1733 0.3338 1
```